1.
Entry from the Alexandria database: a relaxed Tm5Tl2C2 crystal (PBE-GGA).

Cell: 4.752 4.752 9.561 Å, 90.00 90.00 90.00°
Space group P4/mmm (No. 123)
Unique sites:
Tm: 0.000 0.000 0.000 x1
Tm: 0.000 0.500 0.277 x4
Tl: 0.500 0.500 0.000 x1
Tl: 0.500 0.500 0.500 x1
C: 0.000 0.000 0.240 x2

Computed properties:
**E_form**: -0.190 eV/atom

=====

2.
Entry from the Alexandria database: a relaxed Tm7Tl2C2 crystal (PBE-GGA).

Cell: 3.446 14.590 10.335 Å, 90.00 90.00 90.00°
Space group Imm2 (No. 44)
Unique sites:
Tm: 0.000 0.000 0.000 x2
Tm: 0.000 0.141 0.567 x4
Tm: 0.000 0.308 0.380 x4
Tm: 0.000 0.344 0.683 x4
Tl: 0.000 0.000 0.330 x2
Tl: 0.000 0.500 0.239 x2
C: 0.000 0.234 0.051 x4

Computed properties:
**E_form**: -0.136 eV/atom

=====

3.
Entry from the Alexandria database: a relaxed Tm8Tl2C3 crystal (PBE-GGA).

Cell: 15.011 7.132 6.241 Å, 90.00 106.32 90.00°
Space group C2/m (No. 12)
Unique sites:
Tm: 0.088 0.242 0.387 x8
Tm: 0.095 0.000 0.897 x4
Tm: 0.103 0.500 0.944 x4
Tl: 0.244 0.500 0.654 x4
C: 0.000 0.000 0.500 x2
C: 0.000 0.254 0.000 x4

Computed properties:
**E_form**: -0.243 eV/atom

=====

Question: The highest E_form belongs to which entry?
Answer: Tm7Tl2C2

=====

Question: Look up the E_form of the third one.
Answer: -0.243 eV/atom

=====

Question: The highest E_form belongs to which entry?
Answer: Tm7Tl2C2